(1)
The following is a GGA-PBE calculation of a relaxed structure of CaCN, from the Alexandria database.

Lattice parameters (Å, degrees): 3.599 3.554 6.296 73.32 84.75 90.04
Fractional positions:
C (0.355, 0.164, 0.695)
C (0.577, 0.252, 0.512)
Ca (0.750, 0.560, 0.902)
Ca (0.183, 0.856, 0.305)
N (0.693, 0.361, 0.294)
N (0.239, 0.055, 0.913)

Values from the calculation:
Total magnetization   0.000 μB/atom
V   38 Å³/f.u.
ΔE to the lowest computed polymorph   0 meV per atom
ΔE_f (raw)   -0.540 eV/atom
Space-group type   P-1 (2)


(2)
The following is a GGA-PBE calculation of a relaxed structure of Ba4Ir, from the Alexandria database.

Lattice parameters (Å, degrees): 8.727 8.727 8.948 105.56 105.56 116.73
Fractional positions:
Ba (0.783, 0.013, 0.817)
Ba (0.216, 0.946, 0.683)
Ba (0.267, 0.495, 0.829)
Ba (0.666, 0.438, 0.171)
Ba (0.688, 0.416, 0.671)
Ba (0.745, 0.017, 0.329)
Ba (0.196, 0.966, 0.183)
Ba (0.263, 0.533, 0.317)
Ir (0.491, 0.991, 0.500)
Ir (0.241, 0.241, 0.000)

Values from the calculation:
Total magnetization   0.040 μB/atom
V   262 Å³/f.u.
ΔE to the lowest computed polymorph   0 meV per atom
Space-group type   Fdd2 (43)
ΔH_f (0 K)   -138 meV per atom


(3)
The following is a GGA-PBE calculation of a relaxed structure of Ca4Bi8Pt3, from the Alexandria database.

Lattice parameters (Å, degrees): 4.712 4.712 18.967 90.00 90.00 90.00
Fractional positions:
Pt (0.500, 0.500, 0.500)
Pt (0.000, 0.000, 0.000)
Pt (0.000, 0.000, 0.500)
Bi (0.000, 0.500, 0.416)
Bi (0.000, 0.500, 0.923)
Bi (0.000, 0.000, 0.749)
Bi (0.500, 0.500, 0.244)
Bi (0.000, 0.000, 0.251)
Bi (0.500, 0.000, 0.584)
Bi (0.500, 0.500, 0.756)
Bi (0.500, 0.000, 0.077)
Ca (0.500, 0.000, 0.891)
Ca (0.000, 0.500, 0.109)
Ca (0.500, 0.000, 0.387)
Ca (0.000, 0.500, 0.613)

Values from the calculation:
Total magnetization   0.000 μB/atom
V   421 Å³/f.u.
Space-group type   P-4m2 (115)
ΔH_f (0 K)   -534 meV per atom


(4)
The following is a GGA-PBE calculation of a relaxed structure of Pr4Tl2Ga, from the Alexandria database.

Lattice parameters (Å, degrees): 5.411 6.620 6.620 108.74 90.00 90.00
Fractional positions:
Ga (0.500, 0.500, 0.500)
Pr (0.500, 0.000, 0.500)
Pr (0.000, 0.251, 0.251)
Pr (0.000, 0.749, 0.749)
Pr (0.500, 0.500, 0.000)
Tl (0.000, 0.247, 0.753)
Tl (0.000, 0.753, 0.247)

Values from the calculation:
Total magnetization   0.000 μB/atom
V   225 Å³/f.u.
ΔE to the lowest computed polymorph   0 meV per atom
Space-group type   Cmmm (65)
ΔH_f (0 K)   -286 meV per atom


(5)
The following is a GGA-PBE calculation of a relaxed structure of La3Ho2PuSe6, from the Alexandria database.

Lattice parameters (Å, degrees): 7.243 7.243 7.329 99.47 99.47 120.05
Fractional positions:
Pu (0.000, 0.000, 0.000)
Se (0.078, 0.416, 0.233)
Se (0.584, 0.922, 0.767)
Se (0.416, 0.078, 0.233)
Se (0.922, 0.584, 0.767)
Se (0.739, 0.739, 0.231)
Se (0.261, 0.261, 0.769)
La (0.165, 0.835, 0.500)
La (0.500, 0.500, 0.500)
La (0.835, 0.165, 0.500)
Ho (0.667, 0.333, 0.000)
Ho (0.333, 0.667, 0.000)

Values from the calculation:
Total magnetization   0.498 μB/atom
V   314 Å³/f.u.
ΔE_f (raw)   -1.839 eV/atom
Space-group type   C2/m (12)


(6)
The following is a GGA-PBE calculation of a relaxed structure of Sm3HgTe, from the Alexandria database.

Lattice parameters (Å, degrees): 4.577 7.922 17.129 90.00 90.00 90.00
Fractional positions:
Te (0.750, 0.728, 0.041)
Te (0.250, 0.772, 0.541)
Te (0.250, 0.272, 0.959)
Te (0.750, 0.228, 0.459)
Sm (0.750, 0.995, 0.612)
Sm (0.250, 0.683, 0.733)
Sm (0.250, 0.870, 0.933)
Sm (0.750, 0.817, 0.233)
Sm (0.750, 0.630, 0.433)
Sm (0.750, 0.317, 0.267)
Sm (0.750, 0.130, 0.067)
Sm (0.250, 0.370, 0.567)
Sm (0.750, 0.495, 0.888)
Sm (0.250, 0.005, 0.388)
Sm (0.250, 0.183, 0.767)
Sm (0.250, 0.505, 0.112)
Hg (0.250, 0.094, 0.198)
Hg (0.750, 0.906, 0.802)
Hg (0.250, 0.594, 0.302)
Hg (0.750, 0.406, 0.698)

Values from the calculation:
Total magnetization   0.000 μB/atom
V   155 Å³/f.u.
ΔE to the lowest computed polymorph   0 meV per atom
ΔE_f (raw)   -0.695 eV/atom
Space-group type   Pnma (62)


(7)
The following is a GGA-PBE calculation of a relaxed structure of BaCaSCl2, from the Alexandria database.

Lattice parameters (Å, degrees): 5.701 5.701 6.121 90.00 90.00 90.00
Fractional positions:
S (0.000, 0.000, 0.500)
Ca (0.500, 0.500, 0.500)
Ba (0.000, 0.000, 0.000)
Cl (0.500, 0.000, 0.000)
Cl (0.000, 0.500, 0.000)

Values from the calculation:
Total magnetization   0.000 μB/atom
V   199 Å³/f.u.
ΔE to the lowest computed polymorph   708 meV per atom
ΔE_f (raw)   -1.409 eV/atom
Space-group type   P4/mmm (123)


(8)
The following is a GGA-PBE calculation of a relaxed structure of MnCoP2, from the Alexandria database.

Lattice parameters (Å, degrees): 3.972 3.972 3.972 60.00 60.00 60.00
Fractional positions:
P (0.750, 0.750, 0.750)
P (0.250, 0.250, 0.250)
Mn (0.000, 0.000, 0.000)
Co (0.500, 0.500, 0.500)

Values from the calculation:
Total magnetization   0.412 μB/atom
V   44 Å³/f.u.
ΔE to the lowest computed polymorph   453 meV per atom
Space-group type   Fm-3m (225)
ΔH_f (0 K)   -158 meV per atom


(9)
The following is a GGA-PBE calculation of a relaxed structure of Sc2AgCl, from the Alexandria database.

Lattice parameters (Å, degrees): 3.086 5.097 5.097 90.00 90.00 90.00
Fractional positions:
Cl (0.500, 0.000, 0.500)
Sc (0.000, 0.500, 0.500)
Sc (0.000, 0.000, 0.000)
Ag (0.500, 0.500, 0.000)

Values from the calculation:
Total magnetization   0.010 μB/atom
V   80 Å³/f.u.
ΔE to the lowest computed polymorph   218 meV per atom
ΔE_f (raw)   -0.448 eV/atom
Space-group type   P4/mmm (123)


(10)
The following is a GGA-PBE calculation of a relaxed structure of NbCdOF2, from the Alexandria database.

Lattice parameters (Å, degrees): 4.237 4.237 4.516 90.00 90.00 90.00
Fractional positions:
F (0.500, 0.000, 0.000)
F (0.000, 0.500, 0.000)
O (0.000, 0.000, 0.500)
Nb (0.500, 0.500, 0.500)
Cd (0.000, 0.000, 0.000)

Values from the calculation:
Total magnetization   0.600 μB/atom
V   81 Å³/f.u.
ΔE to the lowest computed polymorph   1136 meV per atom
ΔE_f (raw)   -0.654 eV/atom
Space-group type   P4/mmm (123)


(11)
The following is a GGA-PBE calculation of a relaxed structure of LaYTl, from the Alexandria database.

Lattice parameters (Å, degrees): 3.426 9.607 3.426 79.73 90.00 100.27
Fractional positions:
Y (0.874, 0.748, 0.126)
La (0.229, 0.458, 0.771)
Tl (0.047, 0.094, 0.953)

Values from the calculation:
Total magnetization   0.000 μB/atom
V   109 Å³/f.u.
ΔE to the lowest computed polymorph   501 meV per atom
Space-group type   I4mm (107)
ΔH_f (0 K)   212 meV per atom


(12)
The following is a GGA-PBE calculation of a relaxed structure of HoZnPd3, from the Alexandria database.

Lattice parameters (Å, degrees): 6.415 6.415 11.579 95.88 95.88 50.46
Fractional positions:
Pd (0.654, 0.655, 0.654)
Pd (0.154, 0.154, 0.655)
Pd (0.716, 0.215, 0.034)
Pd (0.785, 0.284, 0.466)
Pd (0.655, 0.654, 0.154)
Pd (0.284, 0.785, 0.966)
Pd (0.345, 0.346, 0.846)
Pd (0.846, 0.846, 0.345)
Pd (0.215, 0.716, 0.534)
Pd (0.346, 0.345, 0.346)
Pd (0.154, 0.154, 0.155)
Pd (0.846, 0.846, 0.845)
Ho (0.876, 0.376, 0.874)
Ho (0.376, 0.876, 0.374)
Ho (0.624, 0.124, 0.626)
Ho (0.124, 0.624, 0.126)
Zn (0.000, 0.500, 0.500)
Zn (0.250, 0.750, 0.750)
Zn (0.500, 0.000, 0.000)
Zn (0.750, 0.250, 0.250)

Values from the calculation:
Total magnetization   0.000 μB/atom
V   91 Å³/f.u.
Space-group type   C2/m (12)
ΔH_f (0 K)   -635 meV per atom


(13)
The following is a GGA-PBE calculation of a relaxed structure of SmDy3Mg3, from the Alexandria database.

Lattice parameters (Å, degrees): 5.500 9.148 9.153 120.00 90.00 90.00
Fractional positions:
Mg (0.750, 0.616, 0.523)
Mg (0.750, 0.478, 0.094)
Mg (0.250, 0.522, 0.906)
Mg (0.250, 0.094, 0.616)
Mg (0.750, 0.906, 0.384)
Mg (0.250, 0.384, 0.477)
Dy (0.250, 0.241, 0.038)
Dy (0.750, 0.203, 0.241)
Dy (0.250, 0.962, 0.203)
Dy (0.750, 0.038, 0.797)
Dy (0.750, 0.759, 0.962)
Dy (0.250, 0.797, 0.759)
Sm (0.250, 0.667, 0.333)
Sm (0.750, 0.333, 0.667)

Values from the calculation:
Total magnetization   0.000 μB/atom
V   199 Å³/f.u.
Space-group type   P6_3/m (176)
ΔH_f (0 K)   4 meV per atom


(14)
The following is a GGA-PBE calculation of a relaxed structure of CoNiBr2, from the Alexandria database.

Lattice parameters (Å, degrees): 3.467 6.786 3.582 90.00 90.00 90.00
Fractional positions:
Br (0.000, 0.000, 0.000)
Br (0.500, 0.500, 0.000)
Ni (0.000, 0.500, 0.500)
Co (0.500, 0.000, 0.500)

Values from the calculation:
Total magnetization   0.605 μB/atom
V   84 Å³/f.u.
ΔE to the lowest computed polymorph   414 meV per atom
ΔE_f (raw)   0.468 eV/atom
Space-group type   Pmmm (47)


(15)
The following is a GGA-PBE calculation of a relaxed structure of KNd2Tl9, from the Alexandria database.

Lattice parameters (Å, degrees): 4.888 4.888 14.805 90.00 90.00 90.00
Fractional positions:
Nd (0.000, 0.000, 0.343)
Nd (0.000, 0.000, 0.657)
Tl (0.500, 0.500, 0.665)
Tl (0.500, 0.000, 0.500)
Tl (0.000, 0.500, 0.176)
Tl (0.000, 0.500, 0.500)
Tl (0.500, 0.500, 0.000)
Tl (0.500, 0.000, 0.176)
Tl (0.000, 0.500, 0.824)
Tl (0.500, 0.500, 0.335)
Tl (0.500, 0.000, 0.824)
K (0.000, 0.000, 0.000)

Values from the calculation:
Total magnetization   0.000 μB/atom
V   354 Å³/f.u.
Space-group type   P4/mmm (123)
ΔH_f (0 K)   -198 meV per atom


(16)
The following is a GGA-PBE calculation of a relaxed structure of CdTcHg3, from the Alexandria database.

Lattice parameters (Å, degrees): 5.398 5.398 5.398 90.00 90.00 90.00
Fractional positions:
Tc (0.000, 0.000, 0.000)
Hg (0.500, 0.000, 0.000)
Hg (0.000, 0.500, 0.000)
Hg (0.000, 0.000, 0.500)
Cd (0.500, 0.500, 0.500)

Values from the calculation:
Total magnetization   0.507 μB/atom
V   157 Å³/f.u.
ΔE to the lowest computed polymorph   0 meV per atom
Space-group type   Pm-3m (221)
ΔH_f (0 K)   695 meV per atom


(17)
The following is a GGA-PBE calculation of a relaxed structure of CsSb6Se8, from the Alexandria database.

Lattice parameters (Å, degrees): 8.342 8.342 8.342 91.01 91.01 91.01
Fractional positions:
Se (0.888, 0.315, 0.589)
Se (0.685, 0.411, 0.112)
Se (0.315, 0.589, 0.888)
Se (0.268, 0.268, 0.268)
Se (0.411, 0.112, 0.685)
Se (0.589, 0.888, 0.315)
Se (0.732, 0.732, 0.732)
Se (0.112, 0.685, 0.411)
Sb (0.420, 0.559, 0.209)
Sb (0.580, 0.441, 0.791)
Sb (0.209, 0.420, 0.559)
Sb (0.791, 0.580, 0.441)
Sb (0.559, 0.209, 0.420)
Sb (0.441, 0.791, 0.580)
Cs (0.000, 0.000, 0.000)

Values from the calculation:
Total magnetization   0.000 μB/atom
V   580 Å³/f.u.
ΔE_f (raw)   -0.237 eV/atom
Space-group type   R-3 (148)


(18)
The following is a GGA-PBE calculation of a relaxed structure of BaNaPr, from the Alexandria database.

Lattice parameters (Å, degrees): 3.775 6.277 6.277 120.00 90.00 90.00
Fractional positions:
Ba (0.697, 0.667, 0.333)
Na (0.987, 0.000, 0.000)
Pr (0.315, 0.333, 0.667)

Values from the calculation:
Total magnetization   0.000 μB/atom
V   129 Å³/f.u.
ΔE to the lowest computed polymorph   193 meV per atom
Space-group type   P3m1 (156)
ΔH_f (0 K)   266 meV per atom


(19)
The following is a GGA-PBE calculation of a relaxed structure of Al4H2S5, from the Alexandria database.

Lattice parameters (Å, degrees): 3.416 7.648 7.767 104.52 102.70 90.00
Fractional positions:
Al (0.643, 0.530, 0.286)
Al (0.018, 0.229, 0.035)
Al (0.982, 0.771, 0.965)
Al (0.357, 0.470, 0.714)
S (0.500, 0.000, 0.000)
S (0.126, 0.729, 0.252)
S (0.175, 0.335, 0.350)
S (0.825, 0.665, 0.650)
S (0.874, 0.271, 0.748)
H (0.467, 0.621, 0.934)
H (0.533, 0.379, 0.066)

Values from the calculation:
Electronic total energy   -4.54 eV/atom
Total magnetization   0.000 μB/atom
V   191 Å³/f.u.
Space-group type   C2/m (12)


(20)
The following is a GGA-PBE calculation of a relaxed structure of CaBi2Pd4, from the Alexandria database.

Lattice parameters (Å, degrees): 9.543 5.849 6.051 118.90 90.00 90.00
Fractional positions:
Pd (0.702, 0.007, 0.000)
Pd (0.202, 0.493, 0.000)
Pd (0.298, 0.993, 0.000)
Pd (0.250, 0.997, 0.500)
Pd (0.250, 0.497, 0.500)
Pd (0.798, 0.507, 0.000)
Pd (0.750, 0.503, 0.500)
Pd (0.750, 0.003, 0.500)
Bi (0.000, 0.319, 0.637)
Bi (0.500, 0.819, 0.637)
Bi (0.000, 0.681, 0.363)
Bi (0.500, 0.181, 0.363)
Ca (0.000, 0.000, 0.000)
Ca (0.500, 0.500, 0.000)

Values from the calculation:
Total magnetization   0.000 μB/atom
V   148 Å³/f.u.
ΔE to the lowest computed polymorph   82 meV per atom
Space-group type   Cmce (64)
ΔH_f (0 K)   -345 meV per atom


Number 1: DOS(E_F) 0.007 states/eV/atom. Number 2: DOS(E_F) 1.051 states/eV/atom. Number 3: DOS(E_F) 0.595 states/eV/atom. Number 4: DOS(E_F) 1.221 states/eV/atom. Number 5: DOS(E_F) 1.276 states/eV/atom. Number 6: DOS(E_F) 1.196 states/eV/atom. Number 7: DOS(E_F) 0.197 states/eV/atom. Number 8: DOS(E_F) 0.685 states/eV/atom. Number 9: DOS(E_F) 1.003 states/eV/atom. Number 10: DOS(E_F) 0.909 states/eV/atom. Number 11: DOS(E_F) 1.465 states/eV/atom. Number 12: DOS(E_F) 0.401 states/eV/atom. Number 13: DOS(E_F) 1.559 states/eV/atom. Number 14: DOS(E_F) 1.536 states/eV/atom. Number 15: DOS(E_F) 0.613 states/eV/atom. Number 16: DOS(E_F) 0.801 states/eV/atom. Number 17: DOS(E_F) 0.331 states/eV/atom. Number 18: DOS(E_F) 1.035 states/eV/atom. Number 19: DOS(E_F) 0.000 states/eV/atom. Number 20: DOS(E_F) 0.477 states/eV/atom.